This record from Alexandria describes a geometry-optimized LiTl2InCl structure. The functional is PBE.

Calculated values
Its total energy is -2.41 eV per atom. The calculation puts the calculated volume at 143.1 Å³/cell. For the magnetization, the calculation gives 0.000 μB/cell. As for the density: 6.567 g/cm³.

Cell lengths 5.252, 5.189, 5.252 Å; angles 90.00, 90.00, 90.00 degrees
Positions (direct):
Cl 0.500 0.500 0.500
In 0.000 0.500 0.000
Tl 0.000 0.000 0.500
Tl 0.500 0.000 0.000
Li 0.000 0.000 0.000

---

This record from Alexandria describes a geometry-optimized Li2TlInCl6 structure. The functional is PBE.

Calculated values
Its total energy is -3.39 eV per atom. The calculation puts the calculated volume at 280.2 Å³/cell. For the magnetization, the calculation gives 0.000 μB/cell. As for the density: 3.234 g/cm³.

Cell lengths 6.504, 6.505, 8.522 Å; angles 67.56, 67.53, 59.98 degrees
Positions (direct):
Cl 0.378 0.705 0.867
Cl 0.705 0.051 0.867
Cl 0.927 0.582 0.236
Cl 0.581 0.254 0.236
Cl 0.051 0.378 0.866
Cl 0.254 0.928 0.236
Li 0.988 0.988 0.037
Li 0.644 0.644 0.066
In 0.316 0.316 0.051
Tl 0.816 0.816 0.551

---

This record from Alexandria describes a geometry-optimized LiTlIn2Cl4 structure. The functional is PBE.

Calculated values
Its total energy is -3.18 eV per atom. The calculation puts the calculated volume at 483.7 Å³/cell. For the magnetization, the calculation gives 0.000 μB/cell. As for the density: 4.001 g/cm³.

Cell lengths 8.819, 8.819, 8.717 Å; angles 119.67, 119.67, 90.10 degrees
Positions (direct):
Cl 0.200 0.803 0.002
Cl 0.750 0.752 0.510
Cl 0.250 0.248 0.490
Cl 0.697 0.300 0.498
Cl 0.800 0.197 0.998
Cl 0.252 0.250 0.010
Cl 0.303 0.700 0.502
Cl 0.748 0.750 0.990
In 0.500 0.000 0.000
In 0.000 0.000 0.500
In 0.500 0.000 0.500
In 0.500 0.500 0.000
Tl 0.000 0.500 0.500
Tl 0.000 0.500 0.000
Li 0.500 0.500 0.500
Li 0.000 0.000 0.000

---

This record from Alexandria describes a geometry-optimized LiTlInCl6 structure. The functional is PBE.

Calculated values
Its total energy is -3.11 eV per atom. The calculation puts the calculated volume at 235.7 Å³/cell. For the magnetization, the calculation gives 0.000 μB/cell. As for the density: 3.797 g/cm³.

Cell lengths 6.631, 6.631, 6.188 Å; angles 90.00, 90.00, 60.00 degrees
Positions (direct):
Cl 0.998 0.642 0.730
Cl 0.642 0.360 0.730
Cl 0.360 0.642 0.270
Cl 0.642 0.998 0.270
Cl 0.998 0.360 0.270
Cl 0.360 0.998 0.730
Li 0.333 0.333 0.500
Tl 0.000 0.000 0.000
In 0.667 0.667 0.500